Below is an optimized crystal structure of NdSmHg5, with properties calculated at the GGA-PBE level.

abc: 4.702 4.702 8.778
angles: 90.00 90.00 90.00
Atoms (fractional coordinates):
Nd 0.000 0.000 0.000
Sm 0.500 0.500 0.500
Hg 0.000 0.000 0.500
Hg 0.000 0.500 0.243
Hg 0.000 0.500 0.757
Hg 0.500 0.000 0.243
Hg 0.500 0.000 0.757

Results
Total moment, μB per formula unit: 0.00
SG: P4/mmm, No. 123
Fermi-level density of states, states/eV/f.u.: 4.61
ΔE_f, eV/f.u.: -2.033
Calculated density, g/cm³: 11.1

Below is an optimized crystal structure of Ca2PrHfSb4, with properties calculated at the GGA-PBE level.

abc: 7.606 4.361 7.828
angles: 90.00 108.64 90.00
Atoms (fractional coordinates):
Ca 0.000 0.000 0.000
Ca 0.500 0.500 0.000
Pr 0.000 0.500 0.500
Hf 0.500 0.000 0.500
Sb 0.267 0.000 0.740
Sb 0.276 0.500 0.272
Sb 0.724 0.500 0.728
Sb 0.733 0.000 0.260

Results
Total moment, μB per formula unit: 0.00
E_form (uncorrected), eV/atom: -0.829
SG: P2/m, No. 10
Fermi-level density of states, states/eV/f.u.: 3.66
Calculated density, g/cm³: 6.0

Below is an optimized crystal structure of Mn3HgC, with properties calculated at the GGA-PBE level.

abc: 5.038 5.038 5.038
angles: 90.00 90.00 90.00
Atoms (fractional coordinates):
Mn 0.000 0.000 0.500
Mn 0.000 0.500 0.000
Mn 0.500 0.000 0.000
Hg 0.000 0.000 0.000
C 0.500 0.500 0.500

Results
Energy above the lowest structure with this stoichiometry, eV/atom: 2.166
Total moment, μB per formula unit: 11.49
SG: Pm-3m, No. 221
Fermi-level density of states, states/eV/f.u.: 1.98
ΔE_f, eV/f.u.: 11.469
Calculated density, g/cm³: 4.9

- The lowest Fermi-level density of states belongs to which entry?
  Mn3HgC